First-principles (GGA-PBE) data for a relaxed Sr3CdSn3 crystal, as listed in Alexandria.

Unit cell a=6.5474 b=6.5474 c=16.0068 alpha=108.64 beta=108.64 gamma=45.72
Positions (direct):
Sr (0.0342, 0.0342, 0.3821)
Sr (0.0985, 0.0985, 0.9223)
Sr (0.2400, 0.2400, 0.2257)
Sr (0.7600, 0.7600, 0.7743)
Sr (0.9015, 0.9015, 0.0777)
Sr (0.9658, 0.9658, 0.6179)
Cd (0.2596, 0.2596, 0.6059)
Cd (0.7404, 0.7404, 0.3941)
Sn (0.3687, 0.3687, 0.4581)
Sn (0.3853, 0.3853, 0.9243)
Sn (0.4696, 0.4696, 0.7696)
Sn (0.5304, 0.5304, 0.2304)
Sn (0.6147, 0.6147, 0.0757)
Sn (0.6313, 0.6313, 0.5419)

Space-group type: C2/m, No. 12
Volume, Å³ per cell: 460.77
E_form, eV per atom: -0.6102
D(E_F), states/eV per atom: 0.29